The following is a PBE calculation of Sm2Zn12Ni3Pd after structural relaxation, from Alexandria.

abc: 7.4019 7.4019 7.4019
angles: 72.89 72.89 72.89
Fractional coordinates of all 18 atoms:
Sm 0.1063 0.1063 0.1063
Sm 0.8937 0.8937 0.8937
Zn 0.1439 0.6415 0.6415
Zn 0.2013 0.2013 0.6492
Zn 0.2013 0.6492 0.2013
Zn 0.3508 0.7987 0.7987
Zn 0.3585 0.3585 0.8561
Zn 0.3585 0.8561 0.3585
Zn 0.6415 0.1439 0.6415
Zn 0.6415 0.6415 0.1439
Zn 0.6492 0.2013 0.2013
Zn 0.7987 0.3508 0.7987
Zn 0.7987 0.7987 0.3508
Zn 0.8561 0.3585 0.3585
Ni 0.0000 0.5000 0.5000
Ni 0.5000 0.0000 0.5000
Ni 0.5000 0.5000 0.0000
Pd 0.5000 0.5000 0.5000

Total energy (eV for the cell shown): -44.31
M_tot (μB per cell): 0.00
Space group: R-3m, No. 166
Volume (Å³/cell): 360.7